[1]
# Ti8Sn2B | Alexandria via LeMat-Bulk | PBE | relaxed
# Density of states at the Fermi level = 28.9 states/eV/cell
# ΔH_f (0 K) = -0.18 eV per atom
data_Ti8Sn2B
_chemical_formula_sum 'Ti16 Sn4 B2'
_symmetry_space_group_name_H-M 'C 1 2/m 1'
_symmetry_Int_Tables_number 12
_symmetry_space_group_name_Hall '-C 2y'
_cell_length_a 15.671
_cell_length_b 4.519
_cell_length_c 5.565
_cell_angle_alpha 90.00
_cell_angle_beta 107.80
_cell_angle_gamma 90.00
loop_
_atom_site_label
_atom_site_type_symbol
_atom_site_fract_x
_atom_site_fract_y
_atom_site_fract_z
Ti1 Ti 0.005 0.000 0.239
Ti2 Ti 0.082 0.500 0.736
Ti3 Ti 0.134 0.500 0.272
Ti4 Ti 0.221 0.000 0.127
Sn1 Sn 0.171 0.000 0.606
B1 B 0.000 0.500 0.000

[2]
# Ti2SnB | Alexandria via LeMat-Bulk | PBE | relaxed
# Density of states at the Fermi level = 9.2 states/eV/cell
# ΔH_f (0 K) = 0.02 eV per atom
# Energy above the most stable polymorph in this dataset = 0.503 eV/atom
data_Ti2SnB
_chemical_formula_sum 'Ti8 Sn4 B4'
_symmetry_space_group_name_H-M 'I -4 2 d'
_symmetry_Int_Tables_number 122
_symmetry_space_group_name_Hall 'I -4 2bw'
_cell_length_a 6.764
_cell_length_b 6.764
_cell_length_c 5.737
_cell_angle_alpha 90.00
_cell_angle_beta 90.00
_cell_angle_gamma 90.00
loop_
_atom_site_label
_atom_site_type_symbol
_atom_site_fract_x
_atom_site_fract_y
_atom_site_fract_z
Ti1 Ti 0.185 0.750 0.125
Sn1 Sn 0.000 0.000 0.500
B1 B 0.000 0.000 0.000